[1]
# PBE CaCd2GeS, relaxed
# - DOS at the Fermi energy: 2.57 states/eV/cell
# - Energy relative to the elements, uncorrected: 909 meV/atom
data_CaCd2GeS
_cell_length_a 5.754
_cell_length_b 5.754
_cell_length_c 5.738
_cell_angle_alpha 90.00
_cell_angle_beta 90.00
_cell_angle_gamma 90.00
_symmetry_space_group_name_H-M 'P 4/m m m'
_symmetry_Int_Tables_number 123
_symmetry_space_group_name_Hall '-P 4 2'
loop_
_atom_site_label
_atom_site_fract_x
_atom_site_fract_y
_atom_site_fract_z
Ca1 0.000 0.000 0.000
Cd1 0.000 0.500 0.000
Ge1 0.000 0.000 0.500
S1 0.500 0.500 0.500



[2]
# PBE Sm4InAg2Au, relaxed
# - DOS at the Fermi energy: 20.04 states/eV/cell
# - E_form: -467.8 meV per atom
data_Sm4InAg2Au
_cell_length_a 5.2770
_cell_length_b 5.2770
_cell_length_c 25.8809
_cell_angle_alpha 90.00
_cell_angle_beta 90.00
_cell_angle_gamma 120.00
_symmetry_space_group_name_H-M 'R -3 m'
_symmetry_Int_Tables_number 166
_symmetry_space_group_name_Hall '-R 3 2"'
loop_
_atom_site_label
_atom_site_fract_x
_atom_site_fract_y
_atom_site_fract_z
Sm1 0.0000 0.0000 0.1196
Sm2 0.0000 0.0000 0.3708
In1 0.0000 0.0000 0.5000
Ag1 0.0000 0.0000 0.2425
Au1 0.0000 0.0000 0.0000



[3]
# PBE Dy2MnGePt6, relaxed
# - DOS at the Fermi energy: 9.29 states/eV/cell
# - E_form: -737.6 meV per atom
data_Dy2MnGePt6
_cell_length_a 5.5690
_cell_length_b 5.5690
_cell_length_c 23.2141
_cell_angle_alpha 90.00
_cell_angle_beta 90.00
_cell_angle_gamma 120.00
_symmetry_space_group_name_H-M 'R -3 m'
_symmetry_Int_Tables_number 166
_symmetry_space_group_name_Hall '-R 3 2"'
loop_
_atom_site_label
_atom_site_fract_x
_atom_site_fract_y
_atom_site_fract_z
Dy1 0.0000 0.0000 0.2013
Mn1 0.0000 0.0000 0.5000
Ge1 0.0000 0.0000 0.0000
Pt1 0.0019 0.5010 0.2505



[4]
# PBE LaBiSb2, relaxed
# - DOS at the Fermi energy: 1.67 states/eV/cell
# - Energy relative to the elements, uncorrected: -600 meV/atom
data_LaBiSb2
_cell_length_a 5.204
_cell_length_b 5.204
_cell_length_c 4.392
_cell_angle_alpha 90.00
_cell_angle_beta 90.00
_cell_angle_gamma 90.00
_symmetry_space_group_name_H-M 'P 4/m m m'
_symmetry_Int_Tables_number 123
_symmetry_space_group_name_Hall '-P 4 2'
loop_
_atom_site_label
_atom_site_fract_x
_atom_site_fract_y
_atom_site_fract_z
La1 0.000 0.000 0.000
Bi1 0.500 0.500 0.000
Sb1 0.000 0.500 0.500



[5]
# PBE Pu2ScTe2S2, relaxed
# - DOS at the Fermi energy: 46.26 states/eV/cell
# - Energy relative to the elements, uncorrected: -1360 meV/atom
data_Pu2ScTe2S2
_cell_length_a 4.818
_cell_length_b 4.818
_cell_length_c 15.885
_cell_angle_alpha 90.00
_cell_angle_beta 90.00
_cell_angle_gamma 90.00
_symmetry_space_group_name_H-M 'I 4/m m m'
_symmetry_Int_Tables_number 139
_symmetry_space_group_name_Hall '-I 4 2'
loop_
_atom_site_label
_atom_site_fract_x
_atom_site_fract_y
_atom_site_fract_z
Pu1 0.000 0.000 0.117
Sc1 0.000 0.000 0.500
Te1 0.000 0.000 0.317
S1 0.000 0.500 0.000



[6]
# PBE Sm6Dy2Y3Mg, relaxed
# - DOS at the Fermi energy: 27.10 states/eV/cell
# - E_form: 22.3 meV per atom
data_Sm6Dy2Y3Mg
_cell_length_a 6.203
_cell_length_b 10.750
_cell_length_c 11.757
_cell_angle_alpha 90.00
_cell_angle_beta 100.17
_cell_angle_gamma 90.00
_symmetry_space_group_name_H-M 'C 1 2/m 1'
_symmetry_Int_Tables_number 12
_symmetry_space_group_name_Hall '-C 2y'
loop_
_atom_site_label
_atom_site_fract_x
_atom_site_fract_y
_atom_site_fract_z
Sm1 0.248 0.166 0.248
Sm2 0.249 0.500 0.249
Dy1 0.000 0.333 0.000
Y1 0.000 0.166 0.500
Y2 0.000 0.500 0.500
Mg1 0.000 0.000 0.000



[7]
# PBE PmThRh2, relaxed
# - Energy above the most stable polymorph in this dataset: 0.104 eV/atom
# - DOS at the Fermi energy: 9.44 states/eV/cell
# - E_form: -751.0 meV per atom
data_PmThRh2
_cell_length_a 5.794
_cell_length_b 5.795
_cell_length_c 12.883
_cell_angle_alpha 90.00
_cell_angle_beta 116.73
_cell_angle_gamma 90.00
_symmetry_space_group_name_H-M 'P 1 2/c 1'
_symmetry_Int_Tables_number 13
_symmetry_space_group_name_Hall '-P 2yc'
loop_
_atom_site_label
_atom_site_fract_x
_atom_site_fract_y
_atom_site_fract_z
Pm1 0.128 0.248 0.125
Th1 0.374 0.251 0.875
Rh1 0.133 0.252 0.632
Rh2 0.379 0.249 0.382



[8]
# PBE CaPr2DySb4, relaxed
# - DOS at the Fermi energy: 4.42 states/eV/cell
# - Energy relative to the elements, uncorrected: -1053 meV/atom
data_CaPr2DySb4
_cell_length_a 7.758
_cell_length_b 4.509
_cell_length_c 7.863
_cell_angle_alpha 90.00
_cell_angle_beta 109.52
_cell_angle_gamma 90.00
_symmetry_space_group_name_H-M 'P 1 2/m 1'
_symmetry_Int_Tables_number 10
_symmetry_space_group_name_Hall '-P 2y'
loop_
_atom_site_label
_atom_site_fract_x
_atom_site_fract_y
_atom_site_fract_z
Ca1 0.000 0.000 0.000
Pr1 0.500 0.000 0.500
Pr2 0.500 0.500 0.000
Dy1 0.000 0.500 0.500
Sb1 0.241 0.000 0.743
Sb2 0.245 0.500 0.253